Density functional theory data (PBE) for a relaxed SnGeMo4C2 crystal.

```
SnGeMo4C2
1.0
3.1769 0.0000 0.0000
-1.5885 2.7513 0.0000
0.0000 0.0000 13.0072
Sn Ge Mo C
1 1 4 2
direct
0.0000 0.0000 0.0000
0.6667 0.3333 0.5000
0.0000 0.0000 0.3478
0.0000 0.0000 0.6522
0.6667 0.3333 0.1778
0.6667 0.3333 0.8222
0.3333 0.6667 0.2596
0.3333 0.6667 0.7404
```

## Properties
SG = P-6m2, No. 187
final energy = -0.6493 Ry per atom
total moment = 0.002 μB per atom


Density functional theory data (PBE) for a relaxed Tb2Ge2MoWC crystal.

```
Tb2Ge2MoWC
1.0
5.5854 -1.9290 0.0000
5.5854 1.9290 0.0000
-4.0473 0.0000 5.9813
Tb Ge Mo W C
2 2 1 1 1
direct
0.0000 0.0000 0.0000
0.1426 0.1426 0.5800
0.4340 0.4340 0.6307
0.7088 0.7088 0.9491
0.7751 0.7751 0.3683
0.3669 0.3669 0.2128
0.5700 0.5700 0.2900
```

## Properties
SG = Cm, No. 8
final energy = -0.5792 Ry per atom
total moment = 0.000 μB per atom


Density functional theory data (PBE) for a relaxed ZnGeMo4C2 crystal.

```
ZnGeMo4C2
1.0
3.0921 0.0000 0.0000
-1.5461 2.6779 0.0000
0.0000 0.0000 12.9964
Zn Ge Mo C
1 1 4 2
direct
0.0000 0.0000 0.0000
0.3333 0.6667 0.5000
0.0000 0.0000 0.3448
0.0000 0.0000 0.6552
0.3333 0.6667 0.1668
0.3333 0.6667 0.8332
0.6667 0.3333 0.2528
0.6667 0.3333 0.7472
```

## Properties
SG = P-6m2, No. 187
final energy = -0.6250 Ry per atom
total moment = 0.001 μB per atom


Density functional theory data (PBE) for a relaxed Zr4Ge3Mo2C3 crystal.

```
Zr4Ge3Mo2C3
1.0
4.9009 -2.8476 0.0000
4.9009 2.8476 0.0000
-3.2946 0.0000 13.2200
Zr Ge Mo C
8 6 4 6
direct
0.0363 0.1964 0.0989
0.1302 0.2998 0.4014
0.1964 0.0363 0.5989
0.2998 0.1302 0.9014
0.7002 0.8698 0.0986
0.8036 0.9637 0.4011
0.8698 0.7002 0.5986
0.9637 0.8036 0.9011
0.1378 0.8622 0.2500
0.2960 0.4181 0.7502
0.4181 0.2960 0.2502
0.5819 0.7040 0.7498
0.7040 0.5819 0.2498
0.8622 0.1378 0.7500
0.3538 0.5269 0.0808
0.4731 0.6462 0.4192
0.5269 0.3538 0.5808
0.6462 0.4731 0.9192
0.0000 0.5000 0.0000
0.1726 0.6637 0.5000
0.3363 0.8274 0.0000
0.5000 0.0000 0.5000
0.6637 0.1726 0.0000
0.8274 0.3363 0.5000
```

## Properties
SG = C2/c, No. 15
final energy = -0.6404 Ry per atom
total moment = 0.001 μB per atom


Density functional theory data (PBE) for a relaxed Nb3GeCN crystal.

```
Nb3GeCN
1.0
3.1709 0.0000 0.0000
-1.5854 2.7461 0.0000
0.0000 0.0000 18.3644
Nb Ge C N
6 2 2 2
direct
0.0000 0.0000 0.0000
0.0000 0.0000 0.5000
0.3333 0.6667 0.1348
0.3333 0.6667 0.3626
0.6667 0.3333 0.6374
0.6667 0.3333 0.8652
0.0000 0.0000 0.2483
0.0000 0.0000 0.7517
0.3333 0.6667 0.5719
0.6667 0.3333 0.4281
0.3333 0.6667 0.9310
0.6667 0.3333 0.0690
```

## Properties
SG = P-3m1, No. 164
final energy = -0.6854 Ry per atom
total moment = 0.001 μB per atom


Density functional theory data (PBE) for a relaxed Pr2GeCN2O4 crystal.

```
Pr2GeCN2O4
1.0
6.5742 0.0000 0.0000
1.9036 6.4313 0.0000
2.1791 0.0566 6.5168
Pr Ge C N O
4 2 2 4 8
direct
0.0404 0.1786 0.2208
0.4307 0.2580 0.6638
0.5693 0.7420 0.3362
0.9596 0.8214 0.7792
0.4587 0.7863 0.8227
0.5413 0.2137 0.1773
0.0683 0.6782 0.3047
0.9317 0.3218 0.6953
0.0195 0.4322 0.7559
0.1494 0.7956 0.3677
0.8506 0.2044 0.6323
0.9805 0.5678 0.2441
0.2130 0.9929 0.8898
0.3466 0.1125 0.3825
0.3752 0.6269 0.6888
0.3887 0.2884 0.0074
0.6113 0.7116 0.9926
0.6248 0.3731 0.3112
0.6534 0.8875 0.6175
0.7870 0.0071 0.1102
```

## Properties
SG = P-1, No. 2
final energy = -0.5830 Ry per atom
total moment = 0.000 μB per atom


Density functional theory data (PBE) for a relaxed Ta3GeCN crystal.

```
Ta3GeCN
1.0
3.1476 0.0000 0.0000
-1.5738 2.7259 0.0000
0.0000 0.0000 18.2807
Ta Ge C N
6 2 2 2
direct
0.0000 0.0000 0.0000
0.0000 0.0000 0.5000
0.3333 0.6667 0.1354
0.3333 0.6667 0.3621
0.6667 0.3333 0.6379
0.6667 0.3333 0.8646
0.0000 0.0000 0.2481
0.0000 0.0000 0.7519
0.3333 0.6667 0.5717
0.6667 0.3333 0.4283
0.3333 0.6667 0.9320
0.6667 0.3333 0.0680
```

## Properties
SG = P-3m1, No. 164
final energy = -0.7472 Ry per atom
total moment = 0.001 μB per atom


Density functional theory data (PBE) for a relaxed Ta4Ge2CN crystal.

```
Ta4Ge2CN
1.0
3.2605 0.0000 0.0000
-1.6302 2.8237 0.0000
0.0000 0.0000 12.3612
Ta Ge C N
4 2 1 1
direct
0.3333 0.6667 0.0935
0.3333 0.6667 0.4088
0.6667 0.3333 0.5912
0.6667 0.3333 0.9065
0.3333 0.6667 0.7478
0.6667 0.3333 0.2522
0.0000 0.0000 0.0000
0.0000 0.0000 0.5000
```

## Properties
SG = P-3m1, No. 164
final energy = -0.7191 Ry per atom
total moment = 0.000 μB per atom


Density functional theory data (PBE) for a relaxed Zr3GeCN crystal.

```
Zr3GeCN
1.0
3.3018 0.0000 0.0000
-1.6509 2.8595 0.0000
0.0000 0.0000 19.1632
Zr Ge C N
6 2 2 2
direct
0.0000 0.0000 0.0000
0.0000 0.0000 0.5000
0.3333 0.6667 0.1367
0.3333 0.6667 0.3624
0.6667 0.3333 0.6376
0.6667 0.3333 0.8633
0.0000 0.0000 0.2491
0.0000 0.0000 0.7509
0.3333 0.6667 0.5735
0.6667 0.3333 0.4265
0.3333 0.6667 0.9309
0.6667 0.3333 0.0691
```

## Properties
SG = P-3m1, No. 164
final energy = -0.6647 Ry per atom
total moment = 0.001 μB per atom


Density functional theory data (PBE) for a relaxed Nb2GeC crystal.

```
Nb2GeC
1.0
3.2538 0.0000 0.0000
-1.6269 2.8179 0.0000
0.0000 0.0000 12.6994
Nb Ge C
4 2 2
direct
0.3333 0.6667 0.0928
0.3333 0.6667 0.4072
0.6667 0.3333 0.5928
0.6667 0.3333 0.9072
0.3333 0.6667 0.7500
0.6667 0.3333 0.2500
0.0000 0.0000 0.0000
0.0000 0.0000 0.5000
```

## Properties
SG = P6_3/mmc, No. 194
final energy = -0.6633 Ry per atom
total moment = 0.000 μB per atom


Density functional theory data (PBE) for a relaxed Nb2GeC crystal.

```
Nb2GeC
1.0
3.2621 0.0000 0.0000
-1.6310 2.8251 0.0000
0.0000 0.0000 12.6955
Nb Ge C
4 2 2
direct
0.0000 0.0000 0.1561
0.0000 0.0000 0.8439
0.3333 0.6667 0.3415
0.3333 0.6667 0.6585
0.0000 0.0000 0.5000
0.3333 0.6667 0.0000
0.6667 0.3333 0.2486
0.6667 0.3333 0.7514
```

## Properties
SG = P-6m2, No. 187
final energy = -0.6632 Ry per atom
total moment = 0.000 μB per atom


Density functional theory data (PBE) for a relaxed Nb2GeC crystal.

```
Nb2GeC
1.0
3.2638 0.0000 0.0000
-1.6319 2.8266 0.0000
0.0000 0.0000 12.6428
Nb Ge C
4 2 2
direct
0.3333 0.6667 0.0927
0.3333 0.6667 0.4073
0.6667 0.3333 0.5927
0.6667 0.3333 0.9073
0.3333 0.6667 0.7500
0.6667 0.3333 0.2500
0.0000 0.0000 0.0000
0.0000 0.0000 0.5000
```

## Properties
SG = P6_3/mmc, No. 194
final energy = -0.6633 Ry per atom
total moment = 0.000 μB per atom


Q: Number 5 is which compound?
A: Nb3GeCN